A plane-wave DFT calculation with PBE-GGA was carried out for a relaxed structure of ThSiRh.

a b c (Å): 4.3656 5.6672 5.6672
angles (deg): 81.91 67.35 67.35
Fractional coordinates of all 6 atoms:
Th  0.0000  0.6030  0.3970
Th  0.5000  0.1950  0.8050
Rh  0.7864  0.1921  0.2350
Rh  0.2136  0.7650  0.8079
Si  0.6883  0.6238  0.9995
Si  0.3117  0.0005  0.3762

Summary:
crystal system	orthorhombic
formation energy without anion corrections	-285	kJ/mol of formula units
energy	-7.715	eV per atom
DOS(E_F)	0.536	states/eV per atom
total moment	0.000	μB/cell
calculated density	10.1	g cm⁻³